# PBE-GGA CrFe2Pt, optimized geometry
# Electronic total energy = -8.286 eV/atom
# Total magnetization = 5.2 μB/cell
# Energy of formation from the pure elements = -0.139 eV per atom
data_CrFe2Pt
_chemical_formula_sum 'Cr2 Fe4 Pt2'
_cell_length_a 3.7163
_cell_length_b 3.7163
_cell_length_c 7.4853
_cell_angle_alpha 90.00
_cell_angle_beta 90.00
_cell_angle_gamma 90.00
_symmetry_space_group_name_H-M 'I -4 m 2'
_symmetry_Int_Tables_number 119
_symmetry_space_group_name_Hall 'I -4 -2'
loop_
_atom_site_label
_atom_site_fract_x
_atom_site_fract_y
_atom_site_fract_z
_atom_site_occupancy
Cr1 0.0000 0.0000 0.0000 1
Fe1 0.0000 0.0000 0.5000 1
Fe2 0.0000 0.5000 0.7500 1
Pt1 0.0000 0.5000 0.2500 1